[1]
LaSmGa2Pd5, relaxed, DFT PBE; calculated formation energy = -786 meV per atom; symmetry = P4/mmm; density of states at the Fermi level = 6.77 states/eV per cell
1.0
4.3178 0.0000 0.0000
0.0000 4.3178 0.0000
0.0000 0.0000 9.2419
La Sm Ga Pd
1 1 2 5
Direct
0.0000 0.0000 0.0000
0.0000 0.0000 0.5000
0.5000 0.5000 0.3634
0.5000 0.5000 0.6366
0.0000 0.5000 0.2275
0.0000 0.5000 0.7725
0.5000 0.0000 0.2275
0.5000 0.0000 0.7725
0.5000 0.5000 0.0000



[2]
Nd2SmDyHo5, relaxed, DFT PBE; calculated formation energy = 267 meV per atom; symmetry = I4/mcm; density of states at the Fermi level = 20.63 states/eV per cell
1.0
-4.3373 4.3373 7.7832
4.3373 -4.3373 7.7832
4.3373 4.3373 -7.7832
Nd Sm Dy Ho
4 2 2 10
Direct
0.1174 0.6174 0.7347
0.3826 0.1174 0.5000
0.6174 0.8826 0.5000
0.8826 0.3826 0.2653
0.2500 0.2500 0.0000
0.7500 0.7500 0.0000
0.2500 0.7500 0.5000
0.7500 0.2500 0.5000
0.0000 0.0000 0.0000
0.0721 0.1501 0.5000
0.1501 0.6501 0.0780
0.3499 0.4279 0.5000
0.4279 0.9279 0.0780
0.5000 0.5000 0.0000
0.5721 0.0721 0.9220
0.6501 0.5721 0.5000
0.8499 0.3499 0.9220
0.9279 0.8499 0.5000



[3]
BaAc3Sn3, relaxed, DFT PBE; calculated formation energy = -509 meV per atom; symmetry = R-3; density of states at the Fermi level = 14.91 states/eV per cell
1.0
5.1230 2.9578 6.7540
-5.1230 2.9578 6.7540
0.0000 -5.9156 6.7540
Ba Ac Sn
2 6 6
Direct
0.1675 0.1675 0.1675
0.8325 0.8325 0.8325
0.1150 0.4044 0.7087
0.2913 0.8850 0.5956
0.4044 0.7087 0.1150
0.5956 0.2913 0.8850
0.7087 0.1150 0.4044
0.8850 0.5956 0.2913
0.0630 0.7794 0.4266
0.2206 0.5734 0.9370
0.4266 0.0630 0.7794
0.5734 0.9370 0.2206
0.7794 0.4266 0.0630
0.9370 0.2206 0.5734



[4]
LaIn2I, relaxed, DFT PBE; symmetry = Fm-3m; ΔE to the lowest computed polymorph = 127.3 meV/atom; density of states at the Fermi level = 7.29 states/eV per cell; energy relative to the elements, uncorrected = -69 meV per atom
1.0
0.0000 4.0201 4.0201
4.0201 0.0000 4.0201
4.0201 4.0201 0.0000
La In I
1 2 1
Direct
0.0000 0.0000 0.0000
0.2500 0.2500 0.2500
0.7500 0.7500 0.7500
0.5000 0.5000 0.5000



[5]
ZrOs, relaxed, DFT PBE; calculated formation energy = -24 meV per atom; symmetry = Cm; density of states at the Fermi level = 5.05 states/eV per cell
1.0
5.3092 -1.5553 0.0000
5.3092 1.5553 0.0000
-2.5134 0.0000 6.6223
Zr Os
3 3
Direct
0.0000 0.0000 0.0000
0.3086 0.3086 0.1572
0.6514 0.6514 0.4112
0.3473 0.3473 0.7079
0.6583 0.6583 0.7918
0.9512 0.9512 0.4943



[6]
KSrCrIr2, relaxed, DFT PBE; calculated formation energy = 2417 meV per atom; symmetry = P4/mmm; density of states at the Fermi level = 9.66 states/eV per cell
1.0
5.2030 0.0000 0.0000
0.0000 5.2030 0.0000
0.0000 0.0000 5.0388
K Sr Cr Ir
1 1 1 2
Direct
0.0000 0.0000 0.0000
0.5000 0.5000 0.5000
0.5000 0.5000 0.0000
0.0000 0.5000 0.5000
0.5000 0.0000 0.5000



[7]
CsSrMn2I8, relaxed, DFT PBE; symmetry = P-3; density of states at the Fermi level = 11.47 states/eV per cell; energy relative to the elements, uncorrected = -875 meV per atom
1.0
7.6269 0.0000 0.0000
-3.8135 6.6051 0.0000
0.0000 0.0000 11.1318
Cs Sr Mn I
1 1 2 8
Direct
0.0000 0.0000 0.0000
0.0000 0.0000 0.5000
0.3333 0.6667 0.7552
0.6667 0.3333 0.2448
0.0048 0.6617 0.3158
0.3333 0.6667 0.9896
0.3383 0.3431 0.3158
0.3431 0.0048 0.6842
0.6569 0.9952 0.3158
0.6617 0.6569 0.6842
0.6667 0.3333 0.0104
0.9952 0.3383 0.6842



[8]
TiReCl2, relaxed, DFT PBE; symmetry = I-42d; ΔE to the lowest computed polymorph = 809.9 meV/atom; density of states at the Fermi level = 6.37 states/eV per cell; energy relative to the elements, uncorrected = 701 meV per atom
1.0
-2.7351 2.7351 5.0970
2.7351 -2.7351 5.0970
2.7351 2.7351 -5.0970
Ti Re Cl
2 2 4
Direct
0.0000 0.0000 0.0000
0.7500 0.2500 0.5000
0.2500 0.7500 0.5000
0.5000 0.5000 0.0000
0.1308 0.6250 0.0058
0.3750 0.3808 0.5058
0.6192 0.1250 0.9942
0.8750 0.8692 0.4942



Which value of density of states at the Fermi level does entry 4 give?
7.29 states/eV per cell